1.
The following is a DFT calculation (GGA-PBE) of crystalline PuAlCd2Au4 at its relaxed geometry.

## Properties
total magnetization: 0.694 μB per atom
formation enthalpy at 0 K: -0.27 eV/atom
density of states at the Fermi level: 17.9 states/eV/f.u.
final energy: -35.1 eV per cell

abc: 8.919 8.919 8.919
angles: 30.69 30.69 30.69
Element x y z (fractional)
1 Pu 0.000 0.000 0.000
2 Al 0.500 0.500 0.500
3 Cd 0.250 0.250 0.250
4 Cd 0.750 0.750 0.750
5 Au 0.134 0.134 0.134
6 Au 0.393 0.393 0.393
7 Au 0.607 0.607 0.607
8 Au 0.866 0.866 0.866

2.
The following is a DFT calculation (GGA-PBE) of crystalline LiCa3 at its relaxed geometry.

## Properties
total magnetization: 0.000 μB per atom
formation enthalpy at 0 K: 0.06 eV/atom
polymorph energy (0 for the lowest one): 3.0 kJ/mol of atoms
density of states at the Fermi level: 4.6 states/eV/f.u.
final energy: -15.3 eV per cell

abc: 7.515 7.515 6.124
angles: 90.00 90.00 120.00
Element x y z (fractional)
1 Li 0.333 0.667 0.250
2 Li 0.667 0.333 0.750
3 Ca 0.169 0.337 0.750
4 Ca 0.169 0.831 0.750
5 Ca 0.337 0.169 0.250
6 Ca 0.663 0.831 0.750
7 Ca 0.831 0.169 0.250
8 Ca 0.831 0.663 0.250

3.
The following is a DFT calculation (GGA-PBE) of crystalline SrGa2Ru2 at its relaxed geometry.

## Properties
total magnetization: 0.000 μB per atom
formation enthalpy at 0 K: -0.20 eV/atom
density of states at the Fermi level: 2.1 states/eV/f.u.
final energy: -27.3 eV per cell

abc: 5.905 5.905 5.905
angles: 135.99 135.99 63.99
Element x y z (fractional)
1 Sr 0.000 0.000 0.000
2 Ga 0.250 0.750 0.500
3 Ga 0.750 0.250 0.500
4 Ru 0.380 0.380 0.000
5 Ru 0.620 0.620 0.000

4.
The following is a DFT calculation (GGA-PBE) of crystalline Pm6HoHg2 at its relaxed geometry.

## Properties
total magnetization: 0.000 μB per atom
formation enthalpy at 0 K: -0.21 eV/atom
density of states at the Fermi level: 9.0 states/eV/f.u.
final energy: -35.6 eV per cell

abc: 6.710 6.710 12.130
angles: 108.06 108.06 32.78
Element x y z (fractional)
1 Pm 0.022 0.022 0.337
2 Pm 0.310 0.310 0.410
3 Pm 0.313 0.313 0.124
4 Pm 0.687 0.687 0.876
5 Pm 0.690 0.690 0.590
6 Pm 0.978 0.978 0.663
7 Ho 0.000 0.000 0.000
8 Hg 0.362 0.362 0.806
9 Hg 0.638 0.638 0.194

5.
The following is a DFT calculation (GGA-PBE) of crystalline BeAu2I at its relaxed geometry.

## Properties
total magnetization: 0.000 μB per atom
polymorph energy (0 for the lowest one): 0.0 kJ/mol of atoms
density of states at the Fermi level: 2.5 states/eV/f.u.
final energy: -21.3 eV per cell
ΔE_f (raw): 0.299 eV/atom

abc: 6.213 6.213 6.213
angles: 112.96 112.96 102.71
Element x y z (fractional)
1 Be 0.000 0.000 0.000
2 Be 0.750 0.250 0.500
3 Au 0.042 0.125 0.417
4 Au 0.375 0.958 0.083
5 Au 0.708 0.625 0.583
6 Au 0.875 0.292 0.917
7 I 0.250 0.750 0.500
8 I 0.500 0.500 0.000

6.
The following is a DFT calculation (GGA-PBE) of crystalline ZrCrB at its relaxed geometry.

## Properties
total magnetization: 0.001 μB per atom
formation enthalpy at 0 K: -0.35 eV/atom
polymorph energy (0 for the lowest one): 8.8 kJ/mol of atoms
density of states at the Fermi level: 2.6 states/eV/f.u.
final energy: -51.8 eV per cell

abc: 5.599 5.599 5.599
angles: 146.08 125.70 65.58
Element x y z (fractional)
1 Zr 0.199 0.199 0.000
2 Zr 0.801 0.801 0.000
3 Cr 0.266 0.500 0.766
4 Cr 0.734 0.500 0.234
5 B 0.407 0.907 0.500
6 B 0.593 0.093 0.500

7.
The following is a DFT calculation (GGA-PBE) of crystalline LaMg2Ga2Pd2 at its relaxed geometry.

## Properties
total magnetization: 0.000 μB per atom
formation enthalpy at 0 K: -0.65 eV/atom
density of states at the Fermi level: 4.3 states/eV/f.u.
final energy: -29.1 eV per cell

abc: 8.623 8.623 8.623
angles: 30.18 30.18 30.18
Element x y z (fractional)
1 La 0.000 0.000 0.000
2 Mg 0.136 0.136 0.136
3 Mg 0.864 0.864 0.864
4 Ga 0.415 0.415 0.415
5 Ga 0.585 0.585 0.585
6 Pd 0.247 0.247 0.247
7 Pd 0.753 0.753 0.753

8.
The following is a DFT calculation (GGA-PBE) of crystalline CsLi2InPt at its relaxed geometry.

## Properties
total magnetization: 0.000 μB per atom
formation enthalpy at 0 K: -0.21 eV/atom
density of states at the Fermi level: 3.1 states/eV/f.u.
final energy: -14.5 eV per cell

abc: 5.321 5.321 5.193
angles: 90.00 90.00 90.00
Element x y z (fractional)
1 Cs 0.000 0.000 0.000
2 Li 0.000 0.500 0.500
3 Li 0.500 0.000 0.500
4 In 0.500 0.500 0.000
5 Pt 0.500 0.500 0.500